Compound: Tb3Ge2Pt4
Source: the Alexandria database
Functional: PBE
Structure: relaxed

Calculated values
- Symmetry: C2/m
- DOS at the Fermi energy: 4.87 states/eV/f.u.
- Energy relative to the elements: -1.12 eV per atom
- V: 182 Å³/f.u.

Lattice parameters (Å, degrees): 4.3804 5.6731 8.4267 72.92 74.94 67.29
Closest atoms and distances in Å follow each position.
Positions (direct):
1 Tb 0.3601 0.5889 0.6909  8 Pt 2.96-3.29, 4 Ge 3.06-3.25
2 Ge 0.3423 0.9909 0.3245  4 Pt 2.50-2.72
3 Pt 0.0895 0.2321 0.5888  3 Ge 2.51-2.72
4 Pt 0.7184 0.6365 0.9267  1 Ge 2.50, 2 Pt 2.74
5 Ge 0.6577 0.0091 0.6755  4 Pt 2.50-2.72
6 Tb 0.6399 0.4111 0.3091  8 Pt 2.96-3.29, 4 Ge 3.06-3.25
7 Pt 0.2816 0.3635 0.0733  1 Ge 2.50, 2 Pt 2.74
8 Pt 0.9105 0.7679 0.4112  3 Ge 2.51-2.72
9 Tb 0.0000 0.0000 0.0000  8 Pt 3.04-3.30

Compound: Dy2Pd3Pt2
Source: the Alexandria database
Functional: PBE
Structure: relaxed

Calculated values
- Symmetry: C2/m
- DOS at the Fermi energy: 3.70 states/eV/f.u.
- Energy relative to the elements: -0.74 eV per atom
- V: 140 Å³/f.u.

Lattice parameters (Å, degrees): 4.0345 5.1959 9.1204 124.11 90.00 112.85
Closest atoms and distances in Å follow each position.
Positions (direct):
1 Pd 0.0000 0.0000 0.5000  2 Pd 2.82, 6 Pt 2.89-3.00, 4 Dy 2.91
2 Dy 0.5576 0.1151 0.7611  6 Pd 2.85-2.94, 4 Pt 2.88-3.03
3 Pt 0.2366 0.4732 0.3874  2 Pt 2.78, 5 Pd 2.79-3.00, 4 Dy 2.88-3.03
4 Pd 0.6749 0.3498 0.1423  2 Pd 2.72-2.82, 2 Pt 2.79, 4 Dy 2.85-2.94
5 Pt 0.7634 0.5268 0.6126  2 Pt 2.78, 5 Pd 2.79-3.00, 4 Dy 2.88-3.03
6 Pd 0.3251 0.6502 0.8577  2 Pd 2.72-2.82, 2 Pt 2.79, 4 Dy 2.85-2.94
7 Dy 0.4424 0.8849 0.2389  6 Pd 2.85-2.94, 4 Pt 2.88-3.03

Compound: CdGa3Ge3
Source: the Alexandria database
Functional: PBE
Structure: relaxed

Calculated values
- Symmetry: Pm-3n
- DOS at the Fermi energy: 6.81 states/eV/f.u.
- Energy relative to the elements: 0.29 eV per atom
- V: 181 Å³/f.u.

Lattice parameters (Å, degrees): 7.1253 7.1253 7.1253 90.00 90.00 90.00
Closest atoms and distances in Å follow each position.
Positions (direct):
1 Ga 0.5000 0.2500 0.0000  4 Ge 2.52
2 Cd 0.0000 0.0000 0.0000  12 Ga 3.98, 12 Ge 3.98
3 Ge 0.7500 0.5000 0.0000  4 Ga 2.52
4 Ge 0.5000 0.0000 0.2500  4 Ga 2.52
5 Ga 0.2500 0.0000 0.5000  4 Ge 2.52
6 Ge 0.2500 0.5000 0.0000  4 Ga 2.52
7 Ga 0.5000 0.7500 0.0000  4 Ge 2.52
8 Ge 0.0000 0.2500 0.5000  4 Ga 2.52
9 Ga 0.0000 0.5000 0.7500  4 Ge 2.52
10 Ga 0.0000 0.5000 0.2500  4 Ge 2.52
11 Ga 0.7500 0.0000 0.5000  4 Ge 2.52
12 Ge 0.0000 0.7500 0.5000  4 Ga 2.52
13 Cd 0.5000 0.5000 0.5000  12 Ge 3.98, 12 Ga 3.98
14 Ge 0.5000 0.0000 0.7500  4 Ga 2.52

Compound: ZrCuC3
Source: the Alexandria database
Functional: PBE
Structure: relaxed

Calculated values
- Symmetry: Pm-3m
- Energy above the lowest structure with this stoichiometry: 675.3 meV/atom
- DOS at the Fermi energy: 6.01 states/eV/f.u.
- Energy relative to the elements: 2.43 eV per atom
- V: 81 Å³/f.u.

Lattice parameters (Å, degrees): 4.3192 4.3192 4.3192 90.00 90.00 90.00
Closest atoms and distances in Å follow each position.
Positions (direct):
1 Zr 0.0000 0.0000 0.0000  6 C 2.16
2 C 0.0000 0.0000 0.5000  2 Zr 2.16
3 C 0.5000 0.0000 0.0000  2 Zr 2.16
4 C 0.0000 0.5000 0.0000  2 Zr 2.16
5 Cu 0.5000 0.5000 0.5000  12 C 3.05